Crystalline YVCd2Cu at its relaxed geometry. Source: Alexandria via LeMat-Bulk, functional PBE.

## Properties
Space group: P4/mmm
Energy, eV/cell: -13.51

Lattice parameters (Å, degrees): 5.655 4.939 5.655 90.00 90.00 90.00
Element x y z (fractional)
Y  0.000  0.000  0.000
V  0.500  0.500  0.500
Cu  0.000  0.500  0.000
Cd  0.000  0.000  0.500
Cd  0.500  0.000  0.000

Crystalline NpNbAu at its relaxed geometry. Source: Alexandria via LeMat-Bulk, functional PBE.

## Properties
Space group: C2/m
Energy, eV/cell: -51.72

Lattice parameters (Å, degrees): 4.839 4.839 9.805 134.80 134.80 63.77
Element x y z (fractional)
Np  0.562  0.562  0.923
Np  0.438  0.438  0.077
Au  0.725  0.725  0.745
Au  0.275  0.275  0.255
Nb  0.912  0.912  0.580
Nb  0.088  0.088  0.420

Crystalline CrNi3Pb at its relaxed geometry. Source: Alexandria via LeMat-Bulk, functional PBE.

## Properties
Space group: Pm-3m
Energy, eV/cell: -23.58

Lattice parameters (Å, degrees): 4.744 4.744 4.744 90.00 90.00 90.00
Element x y z (fractional)
Pb  0.000  0.000  0.000
Ni  0.000  0.500  0.000
Ni  0.000  0.000  0.500
Ni  0.500  0.000  0.000
Cr  0.500  0.500  0.500

Crystalline CaTbCd4 at its relaxed geometry. Source: Alexandria via LeMat-Bulk, functional PBE.

## Properties
Space group: C2/m
Energy, eV/cell: -11.80

Lattice parameters (Å, degrees): 3.529 6.480 8.218 115.00 77.60 74.20
Element x y z (fractional)
Ca  0.000  0.000  0.000
Tb  0.500  0.500  0.500
Cd  0.848  0.472  0.832
Cd  0.328  0.998  0.346
Cd  0.152  0.528  0.168
Cd  0.672  0.002  0.654

Crystalline Na3ReMo at its relaxed geometry. Source: Alexandria via LeMat-Bulk, functional PBE.

## Properties
Space group: Pm-3m
Energy, eV/cell: -12.72

Lattice parameters (Å, degrees): 5.252 5.252 5.252 90.00 90.00 90.00
Element x y z (fractional)
Re  0.000  0.000  0.000
Mo  0.500  0.500  0.500
Na  0.000  0.500  0.000
Na  0.000  0.000  0.500
Na  0.500  0.000  0.000

Crystalline IrOsBr at its relaxed geometry. Source: Alexandria via LeMat-Bulk, functional PBE.

## Properties
Raw formation energy, eV/atom: 0.956
Space group: I4mm
Energy, eV/cell: -18.89

Lattice parameters (Å, degrees): 6.518 6.518 6.518 154.04 154.04 37.04
Element x y z (fractional)
Ir  0.304  0.304  0.000
Os  0.676  0.676  0.000
Br  0.020  0.020  0.000

Crystalline Ce6HgRh2 at its relaxed geometry. Source: Alexandria via LeMat-Bulk, functional PBE.

## Properties
Space group: C2/m
Energy, eV/cell: -53.76

Lattice parameters (Å, degrees): 4.820 5.966 10.389 125.56 90.00 113.82
Element x y z (fractional)
Ce  0.072  0.144  0.875
Ce  0.633  0.266  0.164
Ce  0.367  0.734  0.836
Ce  0.676  0.351  0.500
Ce  0.324  0.649  0.500
Ce  0.928  0.856  0.125
Hg  0.000  0.000  0.500
Rh  0.673  0.345  0.786
Rh  0.327  0.655  0.214

Crystalline SmCd8Hg6 at its relaxed geometry. Source: Alexandria via LeMat-Bulk, functional PBE.

## Properties
Space group: R-3
Energy, eV/cell: -14.11

Lattice parameters (Å, degrees): 8.602 8.602 7.976 57.37 57.37 60.00
Element x y z (fractional)
Sm  0.000  0.000  0.000
Cd  0.576  0.247  0.323
Cd  0.753  0.146  0.677
Cd  0.146  0.424  0.677
Cd  0.654  0.654  0.039
Cd  0.346  0.346  0.961
Cd  0.854  0.576  0.323
Cd  0.247  0.854  0.323
Cd  0.424  0.753  0.677
Hg  0.424  0.031  0.791
Hg  0.969  0.246  0.209
Hg  0.246  0.576  0.209
Hg  0.754  0.424  0.791
Hg  0.031  0.754  0.791
Hg  0.576  0.969  0.209

Crystalline Rb2In4GaSn3 at its relaxed geometry. Source: Alexandria via LeMat-Bulk, functional PBE.

## Properties
Space group: P-4m2
Energy, eV/cell: -29.38

Lattice parameters (Å, degrees): 5.146 5.146 12.130 90.00 90.00 90.00
Element x y z (fractional)
Rb  0.500  0.000  0.252
Rb  0.000  0.500  0.748
In  0.500  0.500  0.000
In  0.000  0.000  0.000
In  0.500  0.000  0.626
In  0.000  0.500  0.374
Ga  0.500  0.500  0.500
Sn  0.000  0.000  0.500
Sn  0.500  0.000  0.868
Sn  0.000  0.500  0.132

Crystalline Mg5As2N at its relaxed geometry. Source: Alexandria via LeMat-Bulk, functional PBE.

## Properties
Raw formation energy, eV/atom: -0.440
Space group: Cmcm
Energy, eV/cell: -58.24

Lattice parameters (Å, degrees): 4.654 6.913 11.780 90.00 90.00 109.67
Element x y z (fractional)
Mg  0.944  0.887  0.874
Mg  0.944  0.887  0.626
Mg  0.276  0.552  0.397
Mg  0.276  0.552  0.103
Mg  0.704  0.408  0.250
Mg  0.296  0.592  0.750
Mg  0.724  0.448  0.603
Mg  0.724  0.448  0.897
Mg  0.056  0.113  0.126
Mg  0.056  0.113  0.374
As  0.861  0.722  0.419
As  0.861  0.722  0.081
As  0.139  0.278  0.581
As  0.139  0.278  0.919
N  0.826  0.653  0.750
N  0.174  0.347  0.250

Crystalline SnRhSeBr2 at its relaxed geometry. Source: Alexandria via LeMat-Bulk, functional PBE.

## Properties
Raw formation energy, eV/atom: -0.063
Space group: P4/mmm
Energy, eV/cell: -18.50

Lattice parameters (Å, degrees): 5.011 5.011 5.061 90.00 90.00 90.00
Element x y z (fractional)
Se  0.000  0.000  0.500
Rh  0.000  0.000  0.000
Sn  0.500  0.500  0.500
Br  0.000  0.500  0.000
Br  0.500  0.000  0.000

Crystalline La2TaBr at its relaxed geometry. Source: Alexandria via LeMat-Bulk, functional PBE.

## Properties
Raw formation energy, eV/atom: 0.198
Space group: P4mm
Energy, eV/cell: -22.59

Lattice parameters (Å, degrees): 3.324 3.324 11.175 90.00 90.00 90.00
Element x y z (fractional)
La  0.000  0.000  0.961
La  0.500  0.500  0.281
Br  0.500  0.500  0.781
Ta  0.000  0.000  0.476

Which of these has the lowest energy?
Mg5As2N